1.
The following is a DFT calculation (GGA-PBE) of a relaxed structure of Tm2MgSbC.

The structure in CIF format:
```
data_Tm2MgSbC
_cell_length_a 4.8660
_cell_length_b 4.8660
_cell_length_c 4.3527
_cell_angle_alpha 90.00
_cell_angle_beta 90.00
_cell_angle_gamma 90.00
_space_group_name_H-M_alt 'P 4/m m m'
_space_group_IT_number 123
_space_group_name_Hall '-P 4 2'
loop_
_atom_site_label
_atom_site_fract_x
_atom_site_fract_y
_atom_site_fract_z
_atom_site_occupancy
Tm1 0.0000 0.5000 0.0000 1
Mg1 0.0000 0.0000 0.5000 1
Sb1 0.5000 0.5000 0.5000 1
C1 0.0000 0.0000 0.0000 1
```

Summary:
* V: 20.6 A^3/atom
* crystal system: tetragonal
* final energy: -5.3328 eV/atom
* formation energy from raw total energies: -0.556 eV per atom

2.
The following is a DFT calculation (GGA-PBE) of a relaxed structure of BiIr3F.

The structure in CIF format:
```
data_BiIr3F
_cell_length_a 4.4164
_cell_length_b 4.4164
_cell_length_c 4.4164
_cell_angle_alpha 90.00
_cell_angle_beta 90.00
_cell_angle_gamma 90.00
_space_group_name_H-M_alt 'P m -3 m'
_space_group_IT_number 221
_space_group_name_Hall '-P 4 2 3'
loop_
_atom_site_label
_atom_site_fract_x
_atom_site_fract_y
_atom_site_fract_z
_atom_site_occupancy
Bi1 0.0000 0.0000 0.0000 1
Ir1 0.0000 0.5000 0.5000 1
F1 0.5000 0.5000 0.5000 1
```

Summary:
* V: 17.2 A^3/atom
* polymorph energy (0 for the lowest one): 0 meV per atom
* crystal system: cubic
* final energy: -5.3381 eV/atom
* formation energy from raw total energies: 1.129 eV per atom

3.
The following is a DFT calculation (GGA-PBE) of a relaxed structure of In2AgIr.

The structure in CIF format:
```
data_In2AgIr
_cell_length_a 3.1429
_cell_length_b 3.1429
_cell_length_c 8.1393
_cell_angle_alpha 90.00
_cell_angle_beta 90.00
_cell_angle_gamma 90.00
_space_group_name_H-M_alt 'P 4 m m'
_space_group_IT_number 99
loop_
_space_group_symop_operation_xyz
'x,y,z'
'-y,x,z'
'-x,-y,z'
'y,-x,z'
'-x,y,z'
'y,x,z'
'x,-y,z'
'-y,-x,z'
loop_
_atom_site_label
_atom_site_fract_x
_atom_site_fract_y
_atom_site_fract_z
_atom_site_occupancy
In1 0.0000 0.0000 0.0000 1
In2 0.5000 0.5000 0.3247 1
Ag1 0.5000 0.5000 0.7472 1
Ir1 0.0000 0.0000 0.5237 1
```

Summary:
* V: 20.1 A^3/atom
* crystal system: tetragonal
* final energy: -4.1083 eV/atom

4.
The following is a DFT calculation (GGA-PBE) of a relaxed structure of Ho2RhCl.

The structure in CIF format:
```
data_Ho2RhCl
_cell_length_a 3.9316
_cell_length_b 3.9316
_cell_length_c 22.6159
_cell_angle_alpha 90.00
_cell_angle_beta 90.00
_cell_angle_gamma 120.00
_space_group_name_H-M_alt 'R 3 m'
_space_group_IT_number 160
_space_group_name_Hall 'R 3 -2"'
loop_
_atom_site_label
_atom_site_fract_x
_atom_site_fract_y
_atom_site_fract_z
_atom_site_occupancy
Ho1 0.0000 0.0000 0.0000 1
Ho2 0.0000 0.0000 0.2016 1
Rh1 0.0000 0.0000 0.6018 1
Cl1 0.0000 0.0000 0.7756 1
```

Summary:
* V: 25.2 A^3/atom
* polymorph energy (0 for the lowest one): 26 meV per atom
* crystal system: trigonal
* final energy: -5.7506 eV/atom
* formation energy from raw total energies: -1.162 eV per atom

5.
The following is a DFT calculation (GGA-PBE) of a relaxed structure of Th2UH8.

The structure in CIF format:
```
data_Th2UH8
_cell_length_a 3.4971
_cell_length_b 6.2397
_cell_length_c 10.5311
_cell_angle_alpha 90.00
_cell_angle_beta 90.00
_cell_angle_gamma 90.00
_space_group_name_H-M_alt 'I m m m'
_space_group_IT_number 71
_space_group_name_Hall '-I 2 2'
loop_
_atom_site_label
_atom_site_fract_x
_atom_site_fract_y
_atom_site_fract_z
_atom_site_occupancy
Th1 0.0000 0.0000 0.1668 1
U1 0.0000 0.0000 0.5000 1
H1 0.0000 0.2484 0.3383 1
H2 0.0000 0.2521 0.0000 1
H3 0.0000 0.5000 0.1618 1
```

Summary:
* V: 10.4 A^3/atom
* crystal system: orthorhombic
* final energy: -5.1802 eV/atom

6.
The following is a DFT calculation (GGA-PBE) of a relaxed structure of Tb2Y7Er2.

The structure in CIF format:
```
data_Tb2Y7Er2
_cell_length_a 5.5233
_cell_length_b 15.8837
_cell_length_c 8.1422
_cell_angle_alpha 90.00
_cell_angle_beta 90.00
_cell_angle_gamma 90.00
_space_group_name_H-M_alt 'I m m 2'
_space_group_IT_number 44
loop_
_space_group_symop_operation_xyz
'x,y,z'
'-x,-y,z'
'-x,y,z'
'x,-y,z'
'x+1/2,y+1/2,z+1/2'
'-x+1/2,-y+1/2,z+1/2'
'-x+1/2,y+1/2,z+1/2'
'x+1/2,-y+1/2,z+1/2'
loop_
_atom_site_label
_atom_site_fract_x
_atom_site_fract_y
_atom_site_fract_z
_atom_site_occupancy
Tb1 0.0000 0.2009 0.0000 1
Y1 0.0000 0.0000 0.2010 1
Y2 0.0000 0.1604 0.4985 1
Y3 0.0000 0.3611 0.7081 1
Y4 0.0000 0.3634 0.2925 1
Er1 0.0000 0.0000 0.7876 1
Er2 0.0000 0.5000 0.9986 1
```

Summary:
* V: 32.5 A^3/atom
* polymorph energy (0 for the lowest one): 11 meV per atom
* crystal system: orthorhombic
* final energy: -5.6710 eV/atom

7.
The following is a DFT calculation (GGA-PBE) of a relaxed structure of Rb3Tl3Cd8.

The structure in CIF format:
```
data_Rb3Tl3Cd8
_cell_length_a 5.3864
_cell_length_b 10.5301
_cell_length_c 15.7723
_cell_angle_alpha 90.00
_cell_angle_beta 90.00
_cell_angle_gamma 90.00
_space_group_name_H-M_alt 'I m m m'
_space_group_IT_number 71
_space_group_name_Hall '-I 2 2'
loop_
_atom_site_label
_atom_site_fract_x
_atom_site_fract_y
_atom_site_fract_z
_atom_site_occupancy
Rb1 0.0000 0.0000 0.0000 1
Rb2 0.0000 0.0000 0.2978 1
Tl1 0.0000 0.1939 0.5000 1
Tl2 0.0000 0.5000 0.0000 1
Cd1 0.0000 0.2841 0.1432 1
Cd2 0.0000 0.3554 0.3330 1
```

Summary:
* V: 32.0 A^3/atom
* crystal system: orthorhombic
* final energy: -1.2852 eV/atom

8.
The following is a DFT calculation (GGA-PBE) of a relaxed structure of BeMo3Pd.

The structure in CIF format:
```
data_BeMo3Pd
_cell_length_a 4.7079
_cell_length_b 4.7079
_cell_length_c 4.7079
_cell_angle_alpha 90.00
_cell_angle_beta 90.00
_cell_angle_gamma 90.00
_space_group_name_H-M_alt 'P m -3 m'
_space_group_IT_number 221
_space_group_name_Hall '-P 4 2 3'
loop_
_atom_site_label
_atom_site_fract_x
_atom_site_fract_y
_atom_site_fract_z
_atom_site_occupancy
Be1 0.0000 0.0000 0.0000 1
Mo1 0.0000 0.5000 0.5000 1
Pd1 0.5000 0.5000 0.5000 1
```

Summary:
* V: 20.9 A^3/atom
* polymorph energy (0 for the lowest one): 1607 meV per atom
* crystal system: cubic
* final energy: -6.0428 eV/atom